1.
Material: NdEr7Tm2
Method: DFT, PBE-GGA
State: relaxed

Unit cell a=9.064 b=9.064 c=5.579 alpha=90.00 beta=90.00 gamma=122.68
Sites, in units of the cell vectors:
Nd 0.000 0.000 0.000
Er 0.061 0.293 0.500
Er 0.217 0.783 0.000
Er 0.293 0.061 0.500
Er 0.500 0.500 0.500
Er 0.707 0.939 0.500
Er 0.783 0.217 0.000
Er 0.939 0.707 0.500
Tm 0.297 0.703 0.500
Tm 0.703 0.297 0.500

Calculated values
Crystal system ... orthorhombic
Offset from the most stable computed form ... 663 meV per atom
Total magnetic moment ... 0.00 μB/f.u.
DOS at the Fermi energy ... 1.457 states/eV/atom
Calculated volume ... 38.6 Å³ per atom

=====

2.
Material: Nd2ErTm
Method: DFT, PBE-GGA
State: relaxed

Unit cell a=11.784 b=11.784 c=11.784 alpha=17.55 beta=17.55 gamma=17.55
Sites, in units of the cell vectors:
Nd 0.250 0.250 0.250
Nd 0.750 0.750 0.750
Er 0.500 0.500 0.500
Tm 0.000 0.000 0.000

Calculated values
Crystal system ... trigonal
Offset from the most stable computed form ... 0 meV per atom
Total magnetic moment ... 0.00 μB/f.u.
DOS at the Fermi energy ... 1.083 states/eV/atom
Calculated volume ... 32.5 Å³ per atom

=====

3.
Material: Nd7Er4Tm
Method: DFT, PBE-GGA
State: relaxed

Unit cell a=6.307 b=7.265 c=8.963 alpha=89.97 beta=76.48 gamma=89.98
Sites, in units of the cell vectors:
Nd 0.000 0.000 0.000
Nd 0.221 0.500 0.335
Nd 0.280 0.751 0.666
Nd 0.498 0.248 0.998
Nd 0.502 0.752 0.002
Nd 0.720 0.249 0.334
Nd 0.779 0.500 0.665
Er 0.220 0.000 0.336
Er 0.277 0.247 0.667
Er 0.723 0.753 0.333
Er 0.780 0.000 0.664
Tm 0.000 0.500 0.000

Calculated values
Crystal system ... triclinic
Offset from the most stable computed form ... 0 meV per atom
Total magnetic moment ... 0.00 μB/f.u.
DOS at the Fermi energy ... 1.280 states/eV/atom
Calculated volume ... 33.3 Å³ per atom

=====

4.
Material: Nd3Er5Tm4
Method: DFT, PBE-GGA
State: relaxed

Unit cell a=6.135 b=7.082 c=8.673 alpha=89.88 beta=89.83 gamma=89.91
Sites, in units of the cell vectors:
Nd 0.000 0.000 0.000
Nd 0.166 0.251 0.334
Nd 0.834 0.749 0.666
Er 0.000 0.500 0.000
Er 0.336 0.000 0.667
Er 0.499 0.748 0.000
Er 0.501 0.252 0.000
Er 0.664 0.000 0.333
Tm 0.169 0.748 0.333
Tm 0.334 0.500 0.667
Tm 0.666 0.500 0.333
Tm 0.831 0.252 0.667

Calculated values
Crystal system ... triclinic
Offset from the most stable computed form ... 0 meV per atom
Total magnetic moment ... 0.00 μB/f.u.
DOS at the Fermi energy ... 1.309 states/eV/atom
Calculated volume ... 31.4 Å³ per atom

=====

5.
Material: Nd2ErTm2
Method: DFT, PBE-GGA
State: relaxed

Unit cell a=3.582 b=3.582 c=14.596 alpha=97.13 beta=97.13 gamma=60.05
Sites, in units of the cell vectors:
Nd 0.130 0.130 0.393
Nd 0.870 0.870 0.607
Er 0.000 0.000 0.000
Tm 0.398 0.398 0.193
Tm 0.602 0.602 0.807

Calculated values
Crystal system ... monoclinic
Offset from the most stable computed form ... 0 meV per atom
Total magnetic moment ... 0.00 μB/f.u.
DOS at the Fermi energy ... 1.308 states/eV/atom
Calculated volume ... 32.1 Å³ per atom

=====

6.
Material: NdEr7Tm12
Method: DFT, PBE-GGA
State: relaxed

Unit cell a=9.671 b=9.671 c=9.671 alpha=109.47 beta=109.47 gamma=109.47
Sites, in units of the cell vectors:
Nd 0.000 0.000 0.000
Er 0.000 0.000 0.500
Er 0.000 0.500 0.000
Er 0.000 0.500 0.500
Er 0.500 0.000 0.000
Er 0.500 0.000 0.500
Er 0.500 0.500 0.000
Er 0.500 0.500 0.500
Tm 0.000 0.258 0.742
Tm 0.000 0.742 0.258
Tm 0.258 0.000 0.742
Tm 0.258 0.258 0.516
Tm 0.258 0.516 0.258
Tm 0.258 0.742 0.000
Tm 0.484 0.742 0.742
Tm 0.516 0.258 0.258
Tm 0.742 0.000 0.258
Tm 0.742 0.258 0.000
Tm 0.742 0.484 0.742
Tm 0.742 0.742 0.484

Calculated values
Crystal system ... cubic
Offset from the most stable computed form ... 498 meV per atom
Total magnetic moment ... 0.00 μB/f.u.
DOS at the Fermi energy ... 1.247 states/eV/atom
Calculated volume ... 34.8 Å³ per atom

=====

7.
Material: Nd3ErTm7
Method: DFT, PBE-GGA
State: relaxed

Unit cell a=7.003 b=7.003 c=8.615 alpha=90.00 beta=90.00 gamma=120.00
Sites, in units of the cell vectors:
Nd 0.000 0.500 0.000
Nd 0.500 0.000 0.000
Nd 0.500 0.500 0.000
Er 0.333 0.667 0.339
Tm 0.167 0.335 0.661
Tm 0.167 0.833 0.661
Tm 0.335 0.167 0.339
Tm 0.665 0.833 0.661
Tm 0.667 0.333 0.661
Tm 0.833 0.167 0.339
Tm 0.833 0.665 0.339

Calculated values
Crystal system ... trigonal
Offset from the most stable computed form ... 18 meV per atom
Total magnetic moment ... 0.00 μB/f.u.
DOS at the Fermi energy ... 1.512 states/eV/atom
Calculated volume ... 33.3 Å³ per atom

=====

8.
Material: Nd12ErTm5
Method: DFT, PBE-GGA
State: relaxed

Unit cell a=10.846 b=10.846 c=5.134 alpha=90.00 beta=90.00 gamma=90.46
Sites, in units of the cell vectors:
Nd 0.002 0.669 0.500
Nd 0.164 0.164 0.000
Nd 0.169 0.502 0.000
Nd 0.331 0.998 0.500
Nd 0.335 0.335 0.500
Nd 0.498 0.831 0.000
Nd 0.502 0.169 0.000
Nd 0.665 0.665 0.500
Nd 0.669 0.002 0.500
Nd 0.831 0.498 0.000
Nd 0.836 0.836 0.000
Nd 0.998 0.331 0.500
Er 0.500 0.500 0.000
Tm 0.000 0.000 0.500
Tm 0.167 0.833 0.000
Tm 0.333 0.667 0.500
Tm 0.667 0.333 0.500
Tm 0.833 0.167 0.000

Calculated values
Crystal system ... orthorhombic
Total magnetic moment ... 0.00 μB/f.u.
DOS at the Fermi energy ... 1.559 states/eV/atom
Calculated volume ... 33.6 Å³ per atom

=====

no.,DFT formation energy (eV per formula unit)
1,7.1
2,0.1
3,0.1
4,0.3
5,0.1
6,14.9
7,2.0
8,0.4